Below is an optimized crystal structure of TbTe2MoO8, with properties calculated at the PBE with a Hubbard U level.

Cell: 6.4215 6.4215 5.9320 Å, 90.00 90.00 120.00°
Last column: nearest neighbours and their distance in Å.
Sites, in units of the cell vectors:
1 O 0.8592 0.1406 0.2129  1 Mo 2.01, 1 Te 2.15
2 O 0.6667 0.3333 0.8794  1 Te 1.81
3 O 0.8594 0.7186 0.2129  1 Mo 2.01, 1 Te 2.15
4 O 0.1406 0.2814 0.7871  1 Mo 2.01, 1 Te 2.15
5 O 0.2814 0.1408 0.2129  1 Mo 2.01, 1 Te 2.15
6 O 0.1408 0.8594 0.7871  1 Mo 2.01, 1 Te 2.15
7 O 0.7186 0.8592 0.7871  1 Mo 2.01, 1 Te 2.15
8 O 0.3333 0.6667 0.1206  1 Te 1.81
9 Mo 0.0000 0.0000 0.0000  6 O 2.01
10 Te 0.6667 0.3333 0.1842  1 O 1.81
11 Te 0.3333 0.6667 0.8158  1 O 1.81
12 Tb 0.0000 0.0000 0.5000  6 O 2.31

Electronic total energy, Ry per atom: -0.4633